VASP calculation (GGA-PBE) on an optimized crystal structure of Mg5Hg4Ge.

N(E_F): 3.20 states/eV/f.u.
Formation enthalpy at 0 K: -0.19 eV per atom
Crystal system: tetragonal
Final energy: -1.57 eV/atom
Size of the total moment: 0.00 Bohr magnetons per cell

a b c (Å): 3.546 3.546 16.721
angles (deg): 90.00 90.00 90.00
Space group P4/mmm (No. 123)
Asymmetric unit:
Mg (0.000, 0.000, 0.000) (multiplicity 1)
Mg (0.000, 0.000, 0.202) (multiplicity 2)
Mg (0.000, 0.000, 0.404) (multiplicity 2)
Hg (0.500, 0.500, 0.101) (multiplicity 2)
Hg (0.500, 0.500, 0.303) (multiplicity 2)
Ge (0.500, 0.500, 0.500) (multiplicity 1)



VASP calculation (GGA-PBE) on an optimized crystal structure of Mg3P2O8.

N(E_F): 0.00 states/eV/f.u.
Crystal system: triclinic
Formation energy from raw total energies: -2607 meV/atom
Final energy: -6.86 eV/atom
Size of the total moment: 0.00 Bohr magnetons per cell
Energy above the most stable polymorph in this dataset: 0.029 eV/atom

a b c (Å): 8.618 9.096 9.412
angles (deg): 115.94 91.28 114.39
Space group P-1 (No. 2)
Asymmetric unit:
Mg (0.016, 0.391, 0.322) (multiplicity 2)
Mg (0.094, 0.023, 0.763) (multiplicity 2)
Mg (0.099, 0.693, 0.174) (multiplicity 2)
Mg (0.406, 0.320, 0.339) (multiplicity 2)
Mg (0.423, 0.199, 0.626) (multiplicity 2)
Mg (0.482, 0.205, 0.943) (multiplicity 2)
P (0.171, 0.320, 0.592) (multiplicity 2)
P (0.229, 0.933, 0.049) (multiplicity 2)
P (0.265, 0.429, 0.099) (multiplicity 2)
P (0.321, 0.810, 0.552) (multiplicity 2)
O (0.066, 0.231, 0.416) (multiplicity 2)
O (0.090, 0.426, 0.716) (multiplicity 2)
O (0.101, 0.445, 0.054) (multiplicity 2)
O (0.119, 0.942, 0.179) (multiplicity 2)
O (0.122, 0.871, 0.881) (multiplicity 2)
O (0.170, 0.640, 0.547) (multiplicity 2)
O (0.176, 0.169, 0.626) (multiplicity 2)
O (0.255, 0.404, 0.253) (multiplicity 2)
O (0.272, 0.264, 0.957) (multiplicity 2)
O (0.289, 0.791, 0.042) (multiplicity 2)
O (0.295, 0.821, 0.394) (multiplicity 2)
O (0.342, 0.997, 0.699) (multiplicity 2)
O (0.367, 0.439, 0.594) (multiplicity 2)
O (0.391, 0.127, 0.110) (multiplicity 2)
O (0.434, 0.611, 0.144) (multiplicity 2)
O (0.496, 0.800, 0.569) (multiplicity 2)



VASP calculation (GGA-PBE) on an optimized crystal structure of Ce12Ga6Os.

N(E_F): 45.09 states/eV/f.u.
Formation enthalpy at 0 K: -0.24 eV per atom
Crystal system: trigonal
Final energy: -5.54 eV/atom
Size of the total moment: 3.06 Bohr magnetons per cell

a b c (Å): 10.6556 10.6556 13.4560
angles (deg): 90.00 90.00 120.00
Space group R-3 (No. 148, hexagonal axes)
Asymmetric unit:
Ce (0.0456, 0.8727, 0.3084) (multiplicity 18)
Ce (0.0726, 0.2225, 0.9323) (multiplicity 18)
Ga (0.0500, 0.5997, 0.1960) (multiplicity 18)
Os (0.0000, 0.0000, 0.5000) (multiplicity 3)



VASP calculation (GGA-PBE) on an optimized crystal structure of TbPr4In5.

N(E_F): 5.64 states/eV/f.u.
Formation enthalpy at 0 K: -0.49 eV per atom
Crystal system: tetragonal
Final energy: -4.24 eV/atom
Size of the total moment: 0.00 Bohr magnetons per cell

a b c (Å): 3.871 3.871 19.463
angles (deg): 90.00 90.00 90.00
Space group P4/mmm (No. 123)
Asymmetric unit:
Tb (0.000, 0.000, 0.000) (multiplicity 1)
Pr (0.000, 0.000, 0.195) (multiplicity 2)
Pr (0.000, 0.000, 0.398) (multiplicity 2)
In (0.500, 0.500, 0.092) (multiplicity 2)
In (0.500, 0.500, 0.297) (multiplicity 2)
In (0.500, 0.500, 0.500) (multiplicity 1)